[1]
# Li2VSi3O8

A crystal of Li2VSi3O8 relaxed with PBEsol (meta-GGA SCAN, Alexandria).

Unit cell a=7.9383 b=7.9383 c=7.9383 alpha=90.00 beta=90.00 gamma=90.00
Fractional coordinates of all 56 atoms:
Li 0.0097 0.0097 0.0097
Li 0.2403 0.2403 0.2403
Li 0.2597 0.7597 0.7403
Li 0.4903 0.9903 0.5097
Li 0.5097 0.4903 0.9903
Li 0.7403 0.2597 0.7597
Li 0.7597 0.7403 0.2597
Li 0.9903 0.5097 0.4903
V 0.1250 0.8750 0.3750
V 0.3750 0.1250 0.8750
V 0.6250 0.6250 0.6250
V 0.8750 0.3750 0.1250
Si 0.1115 0.1385 0.6250
Si 0.1250 0.3885 0.8615
Si 0.1385 0.6250 0.1115
Si 0.3615 0.3750 0.6115
Si 0.3750 0.6115 0.3615
Si 0.3885 0.8615 0.1250
Si 0.6115 0.3615 0.3750
Si 0.6250 0.1115 0.1385
Si 0.6385 0.8750 0.8885
Si 0.8615 0.1250 0.3885
Si 0.8750 0.8885 0.6385
Si 0.8885 0.6385 0.8750
O 0.0833 0.1356 0.4008
O 0.0992 0.9167 0.6356
O 0.1144 0.1667 0.8492
O 0.1210 0.6210 0.8790
O 0.1290 0.3710 0.6290
O 0.1356 0.4008 0.0833
O 0.1508 0.6144 0.3333
O 0.1667 0.8492 0.1144
O 0.3333 0.1508 0.6144
O 0.3492 0.3856 0.8333
O 0.3644 0.5992 0.5833
O 0.3710 0.6290 0.1290
O 0.3790 0.3790 0.3790
O 0.3856 0.8333 0.3492
O 0.4008 0.0833 0.1356
O 0.4167 0.8644 0.9008
O 0.5833 0.3644 0.5992
O 0.5992 0.5833 0.3644
O 0.6144 0.3333 0.1508
O 0.6210 0.8790 0.1210
O 0.6290 0.1290 0.3710
O 0.6356 0.0992 0.9167
O 0.6508 0.8856 0.6667
O 0.6667 0.6508 0.8856
O 0.8333 0.3492 0.3856
O 0.8492 0.1144 0.1667
O 0.8644 0.9008 0.4167
O 0.8710 0.8710 0.8710
O 0.8790 0.1210 0.6210
O 0.8856 0.6667 0.6508
O 0.9008 0.4167 0.8644
O 0.9167 0.6356 0.0992

Calculated values
total magnetic moment = 3.00 μB per formula unit
uncorrected energy = -10.04 eV/atom
symmetry = P4_332 (212)
DOS(E_F) = 0.00 states/eV per atom



[2]
# Li3VSi6O15

A crystal of Li3VSi6O15 relaxed with PBEsol (meta-GGA SCAN, Alexandria).

Unit cell a=14.8142 b=7.8709 c=9.7914 alpha=90.00 beta=90.00 gamma=90.00
Fractional coordinates of all 100 atoms:
Li 0.0943 0.2500 0.0780
Li 0.2420 0.0081 0.5050
Li 0.2420 0.4919 0.5050
Li 0.2580 0.5081 0.0050
Li 0.2580 0.9919 0.0050
Li 0.4057 0.7500 0.5780
Li 0.5943 0.2500 0.4220
Li 0.7420 0.0081 0.9950
Li 0.7420 0.4919 0.9950
Li 0.7580 0.5081 0.4950
Li 0.7580 0.9919 0.4950
Li 0.9057 0.7500 0.9220
V 0.2453 0.7500 0.7599
V 0.2547 0.2500 0.2599
V 0.7453 0.7500 0.7401
V 0.7547 0.2500 0.2401
Si 0.0985 0.0574 0.7974
Si 0.0993 0.2500 0.5287
Si 0.0985 0.4426 0.7974
Si 0.0990 0.7500 0.4812
Si 0.1036 0.5604 0.2129
Si 0.1036 0.9396 0.2129
Si 0.3964 0.0604 0.7129
Si 0.3964 0.4396 0.7129
Si 0.4010 0.2500 0.9812
Si 0.4015 0.5574 0.2974
Si 0.4007 0.7500 0.0287
Si 0.4015 0.9426 0.2974
Si 0.5985 0.0574 0.7026
Si 0.5993 0.2500 0.9713
Si 0.5985 0.4426 0.7026
Si 0.5990 0.7500 0.0188
Si 0.6036 0.5604 0.2871
Si 0.6036 0.9396 0.2871
Si 0.8964 0.0604 0.7871
Si 0.8964 0.4396 0.7871
Si 0.9010 0.2500 0.5188
Si 0.9015 0.5574 0.2026
Si 0.9007 0.7500 0.4713
Si 0.9015 0.9426 0.2026
O 0.0018 0.2500 0.4519
O 0.0036 0.0146 0.1683
O 0.0036 0.4854 0.1683
O 0.1040 0.2500 0.8707
O 0.1061 0.0857 0.6323
O 0.1061 0.4143 0.6323
O 0.1095 0.5838 0.3790
O 0.1095 0.9162 0.3790
O 0.1169 0.7500 0.1459
O 0.1753 0.0752 0.1568
O 0.1753 0.4248 0.1568
O 0.1776 0.5618 0.8515
O 0.1776 0.9382 0.8515
O 0.1802 0.7500 0.5861
O 0.1856 0.2500 0.4328
O 0.3144 0.7500 0.9328
O 0.3198 0.2500 0.0861
O 0.3224 0.0618 0.3515
O 0.3224 0.4382 0.3515
O 0.3247 0.5752 0.6568
O 0.3247 0.9248 0.6568
O 0.3831 0.2500 0.6459
O 0.3905 0.0838 0.8790
O 0.3905 0.4162 0.8790
O 0.3939 0.5857 0.1323
O 0.3939 0.9143 0.1323
O 0.3960 0.7500 0.3707
O 0.4964 0.5146 0.6683
O 0.4964 0.9854 0.6683
O 0.4982 0.7500 0.9519
O 0.5018 0.2500 0.0481
O 0.5036 0.0146 0.3317
O 0.5036 0.4854 0.3317
O 0.6040 0.2500 0.6293
O 0.6061 0.0857 0.8677
O 0.6061 0.4143 0.8677
O 0.6095 0.5838 0.1210
O 0.6095 0.9162 0.1210
O 0.6169 0.7500 0.3541
O 0.6753 0.0752 0.3432
O 0.6753 0.4248 0.3432
O 0.6776 0.5618 0.6485
O 0.6776 0.9382 0.6485
O 0.6802 0.7500 0.9139
O 0.6856 0.2500 0.0672
O 0.8144 0.7500 0.5672
O 0.8198 0.2500 0.4139
O 0.8224 0.0618 0.1485
O 0.8224 0.4382 0.1485
O 0.8247 0.5752 0.8432
O 0.8247 0.9248 0.8432
O 0.8831 0.2500 0.8541
O 0.8905 0.0838 0.6210
O 0.8905 0.4162 0.6210
O 0.8939 0.5857 0.3677
O 0.8939 0.9143 0.3677
O 0.8960 0.7500 0.1293
O 0.9964 0.5146 0.8317
O 0.9964 0.9854 0.8317
O 0.9982 0.7500 0.5481

Calculated values
total magnetic moment = 2.00 μB per formula unit
uncorrected energy = -10.00 eV/atom
symmetry = Pnma (62)



[3]
# LiVSiO5

A crystal of LiVSiO5 relaxed with PBEsol (meta-GGA SCAN, Alexandria).

Unit cell a=6.2519 b=6.2519 c=4.5302 alpha=90.00 beta=90.00 gamma=90.25
Fractional coordinates of all 16 atoms:
Li 0.0000 0.5000 0.0000
Li 0.5000 0.0000 0.0000
V 0.2500 0.7500 0.6049
V 0.7500 0.2500 0.3951
Si 0.2500 0.2500 0.5000
Si 0.7500 0.7500 0.5000
O 0.0385 0.2550 0.2869
O 0.2450 0.4615 0.7131
O 0.2500 0.7500 0.2504
O 0.2550 0.0385 0.7131
O 0.4615 0.2450 0.2869
O 0.5385 0.7550 0.7131
O 0.7450 0.9615 0.2869
O 0.7500 0.2500 0.7496
O 0.7550 0.5385 0.2869
O 0.9615 0.7450 0.7131

Calculated values
total magnetic moment = 0.00 μB per formula unit
energy above the most stable polymorph in this dataset = 0.16 eV per formula unit
uncorrected energy = -10.30 eV/atom
symmetry = Cmme (67)
DOS(E_F) = 0.00 states/eV per atom



[4]
# Li2VSi7O16

A crystal of Li2VSi7O16 relaxed with PBEsol (meta-GGA SCAN, Alexandria).

Unit cell a=7.0627 b=7.3915 c=7.7600 alpha=113.37 beta=111.90 gamma=98.30
Fractional coordinates of all 26 atoms:
Li 0.0000 0.0000 0.0000
Li 0.4240 0.5758 0.6289
V 0.5069 0.9155 0.0183
Si 0.0042 0.1087 0.4010
Si 0.0397 0.4444 0.0318
Si 0.4280 0.1789 0.3952
Si 0.4764 0.4788 0.0173
Si 0.6010 0.0910 0.7662
Si 0.8766 0.4825 0.6426
Si 0.9445 0.6985 0.4009
O 0.0544 0.9469 0.4938
O 0.0558 0.5672 0.2667
O 0.2358 0.2522 0.4436
O 0.2728 0.4258 0.0636
O 0.3272 0.0355 0.1423
O 0.4429 0.6046 0.8882
O 0.5076 0.2560 0.8949
O 0.5263 0.0629 0.5286
O 0.5323 0.8676 0.7502
O 0.6116 0.4162 0.5129
O 0.6858 0.6154 0.2553
O 0.8369 0.9956 0.1531
O 0.8722 0.2013 0.9026
O 0.9380 0.2757 0.5576
O 0.9553 0.5674 0.8967
O 0.9915 0.6660 0.6100

Calculated values
total magnetic moment = 3.00 μB per formula unit
uncorrected energy = -10.23 eV/atom
symmetry = P1 (1)